No. 1
Computed, not measured: a geometry-optimized LaCr2Fe structure at the PBE-GGA level of DFT.

It has space group Pmmm (No. 47), with a = 3.448 Å, b = 4.177 Å, c = 4.874 Å, α = 90.00°, β = 90.00° and γ = 90.00°. Symmetry generates all atoms from La at (0.000, 0.000, 0.000), Cr at (0.000, 0.500, 0.500), Cr at (0.500, 0.000, 0.500) and Fe at (0.500, 0.500, 0.000).

The calculation puts the calculated density at 7.07 Mg/m³. The calculation puts the volume at 17.55 A^3/atom. The density of states at the Fermi level comes out at 3.42 states/eV/cell. The value obtained for the raw total energy is -7.512 eV per atom. Its total magnetization is 0.79 μB per formula unit. The value obtained for the calculated formation energy is 0.6475 eV per atom. Its polymorph energy (0 for the lowest one) is 285 meV/atom.

No. 2
Computed, not measured: a geometry-optimized AcErScTe3 structure at the PBE-GGA level of DFT.

It has space group P2_1/m (No. 11), with a = 8.930 Å, b = 4.423 Å, c = 10.108 Å, α = 90.00°, β = 106.95° and γ = 90.00°. Symmetry generates all atoms from Ac at (0.193, 0.250, 0.239), Er at (0.321, 0.750, 0.837), Sc at (0.091, 0.250, 0.594), Te at (0.099, 0.250, 0.883), Te at (0.262, 0.750, 0.509) and Te at (0.439, 0.750, 0.160).

The calculation puts the calculated density at 7.15 Mg/m³. The calculation puts the volume at 31.83 A^3/atom. The density of states at the Fermi level comes out at 6.30 states/eV/cell. Its formation energy without anion corrections is -1.2321 eV/atom. The value obtained for the raw total energy is -5.303 eV per atom. Its total magnetization is 1.26 μB per formula unit.

No. 3
Computed, not measured: a geometry-optimized ZrRh2O2 structure at the PBE-GGA level of DFT.

It has space group P4/mbm (No. 127), with a = 5.764 Å, b = 5.764 Å, c = 4.120 Å, α = 90.00°, β = 90.00° and γ = 90.00°. Symmetry generates all atoms from Zr at (0.000, 0.000, 0.000), Rh at (0.159, 0.341, 0.500) and O at (0.183, 0.317, 0.000).

The calculation puts the calculated density at 7.98 Mg/m³. The calculation puts the volume at 13.69 A^3/atom. The density of states at the Fermi level comes out at 9.27 states/eV/cell. Its formation energy without anion corrections is -1.3391 eV/atom. The value obtained for the raw total energy is -7.973 eV per atom. Its total magnetization is 0.00 μB per formula unit. Its polymorph energy (0 for the lowest one) is 0 meV/atom.

No. 4
Computed, not measured: a geometry-optimized K2AlCd structure at the PBE-GGA level of DFT.

It has space group C2 (No. 5), with a = 7.892 Å, b = 7.951 Å, c = 5.672 Å, α = 90.00°, β = 133.91° and γ = 90.00°. Symmetry generates all atoms from K at (0.000, 0.000, 0.000), K at (0.000, 0.250, 0.500), Al at (0.000, 0.750, 0.500) and Cd at (0.000, 0.500, 0.000).

The calculation puts the calculated density at 2.82 Mg/m³. The calculation puts the volume at 32.05 A^3/atom. The density of states at the Fermi level comes out at 9.12 states/eV/cell. The value obtained for the raw total energy is -1.498 eV per atom. Its total magnetization is 0.00 μB per formula unit. The value obtained for the calculated formation energy is 0.2155 eV per atom. Its polymorph energy (0 for the lowest one) is 133 meV/atom.

No. 5
Computed, not measured: a geometry-optimized AcPm5Pr3 structure at the PBE-GGA level of DFT.

It has space group C2/m (No. 12), with a = 12.871 Å, b = 11.650 Å, c = 10.332 Å, α = 90.00°, β = 105.43° and γ = 90.00°. Symmetry generates all atoms from Ac at (0.248, 0.000, 0.249), Pm at (0.000, 0.244, 0.500), Pm at (0.109, 0.248, 0.909), Pm at (0.238, 0.500, 0.079), Pm at (0.240, 0.000, 0.587), Pr at (0.000, 0.000, 0.000), Pr at (0.000, 0.500, 0.500), Pr at (0.002, 0.000, 0.671) and Pr at (0.019, 0.500, 0.182).

The calculation puts the calculated density at 6.11 Mg/m³. The calculation puts the volume at 41.48 A^3/atom. The density of states at the Fermi level comes out at 56.13 states/eV/cell. The value obtained for the raw total energy is -4.192 eV per atom. Its total magnetization is 0.00 μB per formula unit. The value obtained for the calculated formation energy is 0.4973 eV per atom. Its polymorph energy (0 for the lowest one) is 364 meV/atom.

No. 6
Computed, not measured: a geometry-optimized YThTlCd structure at the PBE-GGA level of DFT.

It has space group F-43m (No. 216), with a = 7.658 Å, b = 7.658 Å, c = 7.658 Å, α = 90.00°, β = 90.00° and γ = 90.00°. Symmetry generates all atoms from Y at (0.000, 0.000, 0.000), Th at (0.000, 0.000, 0.500), Tl at (0.250, 0.250, 0.250) and Cd at (0.250, 0.250, 0.750).

The calculation puts the calculated density at 9.43 Mg/m³. The calculation puts the volume at 28.06 A^3/atom. The density of states at the Fermi level comes out at 15.25 states/eV/cell. The value obtained for the raw total energy is -4.503 eV per atom. Its total magnetization is 0.00 μB per formula unit. The value obtained for the calculated formation energy is -0.2118 eV per atom.

No. 7
Computed, not measured: a geometry-optimized Cu3PdAu4 structure at the PBE-GGA level of DFT.

It has space group P4/mmm (No. 123), with a = 2.888 Å, b = 2.888 Å, c = 14.866 Å, α = 90.00°, β = 90.00° and γ = 90.00°. Symmetry generates all atoms from Cu at (0.000, 0.000, 0.000), Cu at (0.000, 0.000, 0.245), Pd at (0.000, 0.000, 0.500), Au at (0.500, 0.500, 0.122) and Au at (0.500, 0.500, 0.365).

The calculation puts the calculated density at 14.53 Mg/m³. The calculation puts the volume at 15.49 A^3/atom. The density of states at the Fermi level comes out at 2.19 states/eV/cell. The value obtained for the raw total energy is -3.889 eV per atom. Its total magnetization is 0.00 μB per formula unit. The value obtained for the calculated formation energy is -0.0656 eV per atom. Its polymorph energy (0 for the lowest one) is 5 meV/atom.

No. 8
Computed, not measured: a geometry-optimized PmNdSeO2 structure at the PBE-GGA level of DFT.

It has space group I4mm (No. 107), with a = 3.959 Å, b = 3.959 Å, c = 12.586 Å, α = 90.00°, β = 90.00° and γ = 90.00°. Symmetry generates all atoms from Pm at (0.000, 0.000, 0.000), Nd at (0.000, 0.000, 0.309), Se at (0.000, 0.000, 0.655) and O at (0.000, 0.500, 0.406).

The calculation puts the calculated density at 6.74 Mg/m³. The calculation puts the volume at 19.73 A^3/atom. The density of states at the Fermi level comes out at 0.00 states/eV/cell. Its formation energy without anion corrections is -2.9835 eV/atom. The value obtained for the raw total energy is -7.567 eV per atom. Its total magnetization is 0.00 μB per formula unit.

No. 9
Computed, not measured: a geometry-optimized Tl2Bi2S structure at the PBE-GGA level of DFT.

It has space group P4/mbm (No. 127), with a = 7.946 Å, b = 7.946 Å, c = 5.186 Å, α = 90.00°, β = 90.00° and γ = 90.00°. Symmetry generates all atoms from Tl at (0.177, 0.323, 0.000), Bi at (0.128, 0.628, 0.500) and S at (0.000, 0.000, 0.000).

The calculation puts the calculated density at 8.71 Mg/m³. The calculation puts the volume at 32.74 A^3/atom. The density of states at the Fermi level comes out at 2.71 states/eV/cell. Its formation energy without anion corrections is 0.2338 eV/atom. The value obtained for the raw total energy is -3.091 eV per atom. Its total magnetization is 0.00 μB per formula unit. Its polymorph energy (0 for the lowest one) is 219 meV/atom.

No. 10
Computed, not measured: a geometry-optimized Tb6PmHo structure at the PBE-GGA level of DFT.

It has space group P4/mmm (No. 123), with a = 5.044 Å, b = 5.044 Å, c = 10.090 Å, α = 90.00°, β = 90.00° and γ = 90.00°. Symmetry generates all atoms from Tb at (0.000, 0.000, 0.000), Tb at (0.000, 0.000, 0.500), Tb at (0.000, 0.500, 0.248), Pm at (0.500, 0.500, 0.500) and Ho at (0.500, 0.500, 0.000).

The calculation puts the calculated density at 8.17 Mg/m³. The calculation puts the volume at 32.09 A^3/atom. The density of states at the Fermi level comes out at 12.66 states/eV/cell. The value obtained for the raw total energy is -4.619 eV per atom. Its total magnetization is 0.00 μB per formula unit. The value obtained for the calculated formation energy is 0.0200 eV per atom. Its polymorph energy (0 for the lowest one) is 0 meV/atom.

No. 11
Computed, not measured: a geometry-optimized KBaCdSe2 structure at the PBE-GGA level of DFT.

It has space group P2/c (No. 13), with a = 7.943 Å, b = 5.245 Å, c = 8.827 Å, α = 90.00°, β = 101.32° and γ = 90.00°. Symmetry generates all atoms from K at (0.000, 0.018, 0.250), Ba at (0.500, 0.303, 0.750), Cd at (0.000, 0.500, 0.000) and Se at (0.293, 0.204, 0.039).

The calculation puts the calculated density at 4.11 Mg/m³. The calculation puts the volume at 36.06 A^3/atom. The density of states at the Fermi level comes out at 3.98 states/eV/cell. Its formation energy without anion corrections is -1.0069 eV/atom. The value obtained for the raw total energy is -3.188 eV per atom. Its total magnetization is 0.00 μB per formula unit.

No. 12
Computed, not measured: a geometry-optimized NaSnSCl structure at the PBE-GGA level of DFT.

It has space group Cm (No. 8), with a = 7.074 Å, b = 4.074 Å, c = 8.345 Å, α = 90.00°, β = 105.60° and γ = 90.00°. Symmetry generates all atoms from Na at (0.000, 0.000, 0.000), Sn at (0.015, 0.500, 0.519), S at (0.127, 0.000, 0.348) and Cl at (0.286, 0.000, 0.852).

The calculation puts the calculated density at 3.00 Mg/m³. The calculation puts the volume at 28.95 A^3/atom. The density of states at the Fermi level comes out at 0.00 states/eV/cell. Its formation energy without anion corrections is -0.9908 eV/atom. The value obtained for the raw total energy is -3.815 eV per atom. Its total magnetization is 0.00 μB per formula unit.